# 1
# SrYMn3

A relaxed SrYMn3 crystal (PBE, Alexandria).

Results
Distance to the lowest polymorph of the same formula, eV/atom: 0.000
Formation energy from the elements, eV per formula unit: 5.36

CIF file:
```
data_SrYMn3
_chemical_formula_sum 'Sr1 Y1 Mn3'
_symmetry_space_group_name_H-M 'P m -3 m'
_symmetry_Int_Tables_number 221
_symmetry_space_group_name_Hall '-P 4 2 3'
_cell_length_a 5.238
_cell_length_b 5.238
_cell_length_c 5.238
_cell_angle_alpha 90.00
_cell_angle_beta 90.00
_cell_angle_gamma 90.00
loop_
_atom_site_label
_atom_site_type_symbol
_atom_site_fract_x
_atom_site_fract_y
_atom_site_fract_z
_atom_site_occupancy
Sr1 Sr 0.000 0.000 0.000 1
Y1 Y 0.500 0.500 0.500 1
Mn1 Mn 0.000 0.500 0.500 1
```

---

# 2
# Ac2H2Pt3

A relaxed Ac2H2Pt3 crystal (PBE, Alexandria).

Results
Energy, eV/atom: -5.54

CIF file:
```
data_Ac2H2Pt3
_chemical_formula_sum 'Ac2 H2 Pt3'
_symmetry_space_group_name_H-M 'P 1 2/m 1'
_symmetry_Int_Tables_number 10
_cell_length_a 4.624
_cell_length_b 4.070
_cell_length_c 7.310
_cell_angle_alpha 90.00
_cell_angle_beta 95.88
_cell_angle_gamma 90.00
loop_
_symmetry_equiv_pos_as_xyz
'x,y,z'
'-x,-y,-z'
'-x,y,-z'
'x,-y,z'
loop_
_atom_site_label
_atom_site_type_symbol
_atom_site_fract_x
_atom_site_fract_y
_atom_site_fract_z
_atom_site_occupancy
Ac1 Ac 0.211 0.000 0.263 1
H1 H 0.173 0.500 0.853 1
Pt1 Pt 0.276 0.500 0.619 1
Pt2 Pt 0.500 0.500 0.000 1
```

---

# 3
# ErCd2Pd

A relaxed ErCd2Pd crystal (PBE, Alexandria).

Results
Formation energy from the elements, eV per formula unit: -1.60

CIF file:
```
data_ErCd2Pd
_chemical_formula_sum 'Er1 Cd2 Pd1'
_symmetry_space_group_name_H-M 'P 4/m m m'
_symmetry_Int_Tables_number 123
_symmetry_space_group_name_Hall '-P 4 2'
_cell_length_a 4.160
_cell_length_b 4.160
_cell_length_c 4.962
_cell_angle_alpha 90.00
_cell_angle_beta 90.00
_cell_angle_gamma 90.00
loop_
_atom_site_label
_atom_site_type_symbol
_atom_site_fract_x
_atom_site_fract_y
_atom_site_fract_z
_atom_site_occupancy
Er1 Er 0.000 0.000 0.000 1
Cd1 Cd 0.000 0.500 0.500 1
Pd1 Pd 0.500 0.500 0.000 1
```

---

| no. | V (Å³ per atom) |
| --- | --- |
| 1 | 28.75 |
| 2 | 19.55 |
| 3 | 21.47 |